(1)
Here is crystalline CuRe2Br at its relaxed geometry from Alexandria via LeMat-Bulk. Energies are from PBEsol.

Summary:
**Energy relative to the elements, uncorrected**: 90.0 kJ/mol of atoms
**E above lowest polymorph**: 0.00 eV per formula unit
**Crystal system**: trigonal

Structure (CIF):
```
data_CuRe2Br
_symmetry_space_group_name_H-M 'R -3 m'
_symmetry_Int_Tables_number 166
_symmetry_space_group_name_Hall '-R 3 2"'
_cell_length_a 2.8413
_cell_length_b 2.8413
_cell_length_c 25.2728
_cell_angle_alpha 90.00
_cell_angle_beta 90.00
_cell_angle_gamma 120.00
loop_
_atom_site_label
_atom_site_fract_x
_atom_site_fract_y
_atom_site_fract_z
_atom_site_occupancy
Cu1 0.0000 0.0000 0.0000 1
Re1 0.0000 0.0000 0.2525 1
Br1 0.0000 0.0000 0.5000 1
```

(2)
Here is crystalline CuReBr2 at its relaxed geometry from Alexandria via LeMat-Bulk. Energies are from PBEsol.

Summary:
**Energy relative to the elements, uncorrected**: 79.2 kJ/mol of atoms
**Crystal system**: orthorhombic

Structure (CIF):
```
data_CuReBr2
_symmetry_space_group_name_H-M 'I m m 2'
_symmetry_Int_Tables_number 44
_symmetry_space_group_name_Hall 'I 2 -2'
_cell_length_a 2.973
_cell_length_b 4.483
_cell_length_c 11.510
_cell_angle_alpha 90.00
_cell_angle_beta 90.00
_cell_angle_gamma 90.00
loop_
_atom_site_label
_atom_site_fract_x
_atom_site_fract_y
_atom_site_fract_z
_atom_site_occupancy
Cu1 0.000 0.000 0.000 1
Re1 0.000 0.500 0.684 1
Br1 0.000 0.000 0.367 1
Br2 0.000 0.500 0.154 1
```

(3)
Here is crystalline Cu2ReBr at its relaxed geometry from Alexandria via LeMat-Bulk. Energies are from PBEsol.

Summary:
**Energy relative to the elements, uncorrected**: 101.1 kJ/mol of atoms
**E above lowest polymorph**: 0.39 eV per formula unit
**Crystal system**: tetragonal

Structure (CIF):
```
data_Cu2ReBr
_symmetry_space_group_name_H-M 'P 4/m m m'
_symmetry_Int_Tables_number 123
_symmetry_space_group_name_Hall '-P 4 2'
_cell_length_a 4.488
_cell_length_b 4.488
_cell_length_c 2.894
_cell_angle_alpha 90.00
_cell_angle_beta 90.00
_cell_angle_gamma 90.00
loop_
_atom_site_label
_atom_site_fract_x
_atom_site_fract_y
_atom_site_fract_z
_atom_site_occupancy
Cu1 0.000 0.500 0.000 1
Re1 0.000 0.000 0.500 1
Br1 0.500 0.500 0.500 1
```

(4)
Here is crystalline Cu2RhBr at its relaxed geometry from Alexandria via LeMat-Bulk. Energies are from PBEsol.

Summary:
**Energy relative to the elements, uncorrected**: 36.4 kJ/mol of atoms
**Crystal system**: tetragonal

Structure (CIF):
```
data_Cu2RhBr
_symmetry_space_group_name_H-M 'P 4/m m m'
_symmetry_Int_Tables_number 123
_symmetry_space_group_name_Hall '-P 4 2'
_cell_length_a 3.273
_cell_length_b 3.273
_cell_length_c 5.466
_cell_angle_alpha 90.00
_cell_angle_beta 90.00
_cell_angle_gamma 90.00
loop_
_atom_site_label
_atom_site_fract_x
_atom_site_fract_y
_atom_site_fract_z
_atom_site_occupancy
Cu1 0.000 0.000 0.220 1
Rh1 0.500 0.500 0.000 1
Br1 0.500 0.500 0.500 1
```

(5)
Here is crystalline Cu3RuBr at its relaxed geometry from Alexandria via LeMat-Bulk. Energies are from PBEsol.

Summary:
**Energy relative to the elements, uncorrected**: 130.6 kJ/mol of atoms
**Crystal system**: cubic

Structure (CIF):
```
data_Cu3RuBr
_symmetry_space_group_name_H-M 'P m -3 m'
_symmetry_Int_Tables_number 221
_symmetry_space_group_name_Hall '-P 4 2 3'
_cell_length_a 4.617
_cell_length_b 4.617
_cell_length_c 4.617
_cell_angle_alpha 90.00
_cell_angle_beta 90.00
_cell_angle_gamma 90.00
loop_
_atom_site_label
_atom_site_fract_x
_atom_site_fract_y
_atom_site_fract_z
_atom_site_occupancy
Cu1 0.000 0.000 0.500 1
Ru1 0.000 0.000 0.000 1
Br1 0.500 0.500 0.500 1
```

(6)
Here is crystalline CuS2Br at its relaxed geometry from Alexandria via LeMat-Bulk. Energies are from PBEsol.

Summary:
**Energy relative to the elements, uncorrected**: 82.7 kJ/mol of atoms
**Crystal system**: cubic

Structure (CIF):
```
data_CuS2Br
_symmetry_space_group_name_H-M 'F m -3 m'
_symmetry_Int_Tables_number 225
_symmetry_space_group_name_Hall '-F 4 2 3'
_cell_length_a 6.399
_cell_length_b 6.399
_cell_length_c 6.399
_cell_angle_alpha 90.00
_cell_angle_beta 90.00
_cell_angle_gamma 90.00
loop_
_atom_site_label
_atom_site_fract_x
_atom_site_fract_y
_atom_site_fract_z
_atom_site_occupancy
Cu1 0.000 0.000 0.000 1
S1 0.250 0.250 0.250 1
Br1 0.000 0.000 0.500 1
```

(7)
Here is crystalline CuSBr2 at its relaxed geometry from Alexandria via LeMat-Bulk. Energies are from PBEsol.

Summary:
**Energy relative to the elements, uncorrected**: 69.8 kJ/mol of atoms
**Crystal system**: cubic

Structure (CIF):
```
data_CuSBr2
_symmetry_space_group_name_H-M 'F m -3 m'
_symmetry_Int_Tables_number 225
_symmetry_space_group_name_Hall '-F 4 2 3'
_cell_length_a 6.684
_cell_length_b 6.684
_cell_length_c 6.684
_cell_angle_alpha 90.00
_cell_angle_beta 90.00
_cell_angle_gamma 90.00
loop_
_atom_site_label
_atom_site_fract_x
_atom_site_fract_y
_atom_site_fract_z
_atom_site_occupancy
Cu1 0.000 0.000 0.000 1
S1 0.000 0.000 0.500 1
Br1 0.250 0.250 0.250 1
```

(8)
Here is crystalline CuTeSBr at its relaxed geometry from Alexandria via LeMat-Bulk. Energies are from PBEsol.

Summary:
**Energy relative to the elements, uncorrected**: -19.3 kJ/mol of atoms
**Crystal system**: monoclinic

Structure (CIF):
```
data_CuTeSBr
_symmetry_space_group_name_H-M 'P 1 21/c 1'
_symmetry_Int_Tables_number 14
_symmetry_space_group_name_Hall '-P 2ybc'
_cell_length_a 7.890
_cell_length_b 4.768
_cell_length_c 12.008
_cell_angle_alpha 90.00
_cell_angle_beta 115.96
_cell_angle_gamma 90.00
loop_
_atom_site_label
_atom_site_fract_x
_atom_site_fract_y
_atom_site_fract_z
_atom_site_occupancy
Cu1 0.194 0.132 0.252 1
Te1 0.286 0.503 0.142 1
S1 0.416 0.691 0.834 1
Br1 0.085 0.145 0.889 1
```

(9)
Here is crystalline CuSbBr2 at its relaxed geometry from Alexandria via LeMat-Bulk. Energies are from PBEsol.

Summary:
**Energy relative to the elements, uncorrected**: -2.7 kJ/mol of atoms
**E above lowest polymorph**: 0.00 eV per formula unit
**Crystal system**: tetragonal

Structure (CIF):
```
data_CuSbBr2
_symmetry_space_group_name_H-M 'P 4 m m'
_symmetry_Int_Tables_number 99
_symmetry_space_group_name_Hall 'P 4 -2'
_cell_length_a 3.368
_cell_length_b 3.368
_cell_length_c 7.989
_cell_angle_alpha 90.00
_cell_angle_beta 90.00
_cell_angle_gamma 90.00
loop_
_atom_site_label
_atom_site_fract_x
_atom_site_fract_y
_atom_site_fract_z
_atom_site_occupancy
Cu1 0.000 0.000 0.000 1
Sb1 0.500 0.500 0.195 1
Br1 0.000 0.000 0.452 1
Br2 0.500 0.500 0.825 1
```

(10)
Here is crystalline CuSbBr2 at its relaxed geometry from Alexandria via LeMat-Bulk. Energies are from PBEsol.

Summary:
**Energy relative to the elements, uncorrected**: 34.7 kJ/mol of atoms
**E above lowest polymorph**: 1.55 eV per formula unit
**Crystal system**: orthorhombic

Structure (CIF):
```
data_CuSbBr2
_symmetry_space_group_name_H-M 'C m m m'
_symmetry_Int_Tables_number 65
_symmetry_space_group_name_Hall '-C 2 2'
_cell_length_a 7.112
_cell_length_b 7.184
_cell_length_c 3.446
_cell_angle_alpha 90.00
_cell_angle_beta 90.00
_cell_angle_gamma 90.00
loop_
_atom_site_label
_atom_site_fract_x
_atom_site_fract_y
_atom_site_fract_z
_atom_site_occupancy
Cu1 0.000 0.000 0.000 1
Sb1 0.000 0.500 0.000 1
Br1 0.250 0.250 0.500 1
```

(11)
Here is crystalline CuSbBr at its relaxed geometry from Alexandria via LeMat-Bulk. Energies are from PBEsol.

Summary:
**Energy relative to the elements, uncorrected**: 45.4 kJ/mol of atoms
**E above lowest polymorph**: 1.30 eV per formula unit
**Crystal system**: cubic

Structure (CIF):
```
data_CuSbBr
_symmetry_space_group_name_H-M 'F -4 3 m'
_symmetry_Int_Tables_number 216
_symmetry_space_group_name_Hall 'F -4 2 3'
_cell_length_a 6.512
_cell_length_b 6.512
_cell_length_c 6.512
_cell_angle_alpha 90.00
_cell_angle_beta 90.00
_cell_angle_gamma 90.00
loop_
_atom_site_label
_atom_site_fract_x
_atom_site_fract_y
_atom_site_fract_z
_atom_site_occupancy
Cu1 0.000 0.000 0.000 1
Sb1 0.250 0.250 0.250 1
Br1 0.250 0.250 0.750 1
```

(12)
Here is crystalline CuSbBr at its relaxed geometry from Alexandria via LeMat-Bulk. Energies are from PBEsol.

Summary:
**Energy relative to the elements, uncorrected**: 3.6 kJ/mol of atoms
**E above lowest polymorph**: 0.00 eV per formula unit
**Crystal system**: orthorhombic

Structure (CIF):
```
data_CuSbBr
_symmetry_space_group_name_H-M 'F m m 2'
_symmetry_Int_Tables_number 42
_symmetry_space_group_name_Hall 'F 2 -2'
_cell_length_a 3.565
_cell_length_b 5.936
_cell_length_c 13.110
_cell_angle_alpha 90.00
_cell_angle_beta 90.00
_cell_angle_gamma 90.00
loop_
_atom_site_label
_atom_site_fract_x
_atom_site_fract_y
_atom_site_fract_z
_atom_site_occupancy
Cu1 0.000 0.000 0.000 1
Sb1 0.000 0.000 0.358 1
Br1 0.000 0.000 0.621 1
```